DFT (GGA-PBE) results for crystalline Y2Zn2Te at its relaxed geometry.

The value obtained for the energy above the most stable polymorph in this dataset is 259.2 meV/atom. The density is 6.08 Mg/m³. Its crystal system is tetragonal.

CIF file:
```
data_Y2Zn2Te
_space_group_name_H-M_alt 'P 4/m b m'
_space_group_IT_number 127
_space_group_name_Hall '-P 4 2ab'
_cell_length_a 7.503
_cell_length_b 7.503
_cell_length_c 4.230
_cell_angle_alpha 90.00
_cell_angle_beta 90.00
_cell_angle_gamma 90.00
loop_
_atom_site_label
_atom_site_type_symbol
_atom_site_fract_x
_atom_site_fract_y
_atom_site_fract_z
Y1 Y 0.169 0.331 0.000
Zn1 Zn 0.120 0.620 0.500
Te1 Te 0.000 0.000 0.500
```